# LiSmIn2Pt4

An optimized crystal structure of LiSmIn2Pt4 (PBE-GGA, the Alexandria database).

## Properties
For the formation energy, the calculation gives -0.7050 eV/atom. Its energy is -125.74 eV for the cell shown. For the density of states at the Fermi level, the calculation gives 0.35 states/eV/atom. The mass density is 12.99 Mg/m³. The calculation puts the spin magnetization at 0.0000 μB/atom.

a = 4.5643 Å, b = 4.5643 Å, c = 24.8146 Å
α = 90.00°, β = 90.00°, γ = 120.00°
Space group R-3m (No. 166, hexagonal axes)
Inequivalent atoms, fractional coordinates:
Li (0.0000, 0.0000, 0.0000) [3 per cell]
Sm (0.0000, 0.0000, 0.5000) [3 per cell]
In (0.0000, 0.0000, 0.2586) [6 per cell]
Pt (0.0000, 0.0000, 0.1025) [6 per cell]
Pt (0.0000, 0.0000, 0.3711) [6 per cell]


# LiCrHg3

An optimized crystal structure of LiCrHg3 (PBE-GGA, the Alexandria database).

## Properties
The energy above the most stable polymorph in this dataset comes out at 124 meV per atom. For the formation energy, the calculation gives 0.4596 eV/atom. Its energy is -10.14 eV for the cell shown. For the density of states at the Fermi level, the calculation gives 0.47 states/eV/atom. The mass density is 9.42 Mg/m³. The calculation puts the spin magnetization at 0.9677 μB/atom.

a = 4.884 Å, b = 4.884 Å, c = 4.884 Å
α = 90.00°, β = 90.00°, γ = 90.00°
Space group Pm-3m (No. 221)
Inequivalent atoms, fractional coordinates:
Li (0.000, 0.000, 0.000) [1 per cell]
Cr (0.500, 0.500, 0.500) [1 per cell]
Hg (0.000, 0.000, 0.500) [3 per cell]


Among the records above, which one has the lowest energy?
LiSmIn2Pt4